[1]
# LaSm2Y2Er2 GGA-PBE relaxed
# * energy relative to the elements: 0.09 eV per atom
# * space-group type: C2/m (12)
data_LaSm2Y2Er2
_chemical_formula_sum 'La2 Sm4 Y4 Er4'
_cell_length_a 11.780
_cell_length_b 3.532
_cell_length_c 11.857
_cell_angle_alpha 90.00
_cell_angle_beta 108.39
_cell_angle_gamma 90.00
_symmetry_space_group_name_H-M 'P 1'
_symmetry_Int_Tables_number 1
_symmetry_space_group_name_Hall 'P 1'
loop_
_atom_site_label
_atom_site_fract_x
_atom_site_fract_y
_atom_site_fract_z
La1 0.000 0.000 0.000
La2 0.500 0.500 0.000
Sm1 0.173 0.500 0.584
Sm2 0.327 0.000 0.416
Sm3 0.673 0.000 0.584
Sm4 0.827 0.500 0.416
Y1 0.050 0.500 0.275
Y2 0.450 0.000 0.725
Y3 0.550 0.000 0.275
Y4 0.950 0.500 0.725
Er1 0.225 0.000 0.861
Er2 0.275 0.500 0.139
Er3 0.725 0.500 0.861
Er4 0.775 0.000 0.139

=====

[2]
# CaMgCu2 GGA-PBE relaxed
# * energy relative to the elements: 0.19 eV per atom
# * space-group type: I4_1/amd (141)
data_CaMgCu2
_chemical_formula_sum 'Ca4 Mg4 Cu8'
_cell_length_a 4.716
_cell_length_b 4.716
_cell_length_c 17.727
_cell_angle_alpha 90.00
_cell_angle_beta 90.00
_cell_angle_gamma 90.00
_symmetry_space_group_name_H-M 'P 1'
_symmetry_Int_Tables_number 1
_symmetry_space_group_name_Hall 'P 1'
loop_
_atom_site_label
_atom_site_fract_x
_atom_site_fract_y
_atom_site_fract_z
Ca1 0.000 0.250 0.375
Ca2 0.000 0.750 0.625
Ca3 0.500 0.250 0.125
Ca4 0.500 0.750 0.875
Mg1 0.000 0.250 0.875
Mg2 0.000 0.750 0.125
Mg3 0.500 0.250 0.625
Mg4 0.500 0.750 0.375
Cu1 0.000 0.000 0.000
Cu2 0.000 0.500 0.000
Cu3 0.250 0.250 0.750
Cu4 0.250 0.750 0.250
Cu5 0.500 0.000 0.500
Cu6 0.500 0.500 0.500
Cu7 0.750 0.250 0.750
Cu8 0.750 0.750 0.250

=====

[3]
# Dy6Zn5Ru GGA-PBE relaxed
# * energy relative to the elements: -0.38 eV per atom
# * space-group type: Cmmm (65)
data_Dy6Zn5Ru
_chemical_formula_sum 'Dy6 Zn5 Ru1'
_cell_length_a 7.883
_cell_length_b 7.883
_cell_length_c 7.104
_cell_angle_alpha 90.00
_cell_angle_beta 90.00
_cell_angle_gamma 143.04
_symmetry_space_group_name_H-M 'P 1'
_symmetry_Int_Tables_number 1
_symmetry_space_group_name_Hall 'P 1'
loop_
_atom_site_label
_atom_site_fract_x
_atom_site_fract_y
_atom_site_fract_z
Dy1 0.000 0.000 0.239
Dy2 0.000 0.000 0.761
Dy3 0.339 0.661 0.245
Dy4 0.339 0.661 0.755
Dy5 0.661 0.339 0.245
Dy6 0.661 0.339 0.755
Zn1 0.168 0.832 0.500
Zn2 0.173 0.827 0.000
Zn3 0.500 0.500 0.500
Zn4 0.827 0.173 0.000
Zn5 0.832 0.168 0.500
Ru1 0.500 0.500 0.000

=====

[4]
# Li5Br2N GGA-PBE relaxed
# * raw formation energy: -0.947 eV per atom
# * space-group type: Cmcm (63)
data_Li5Br2N
_chemical_formula_sum 'Li10 Br4 N2'
_cell_length_a 6.859
_cell_length_b 6.859
_cell_length_c 11.935
_cell_angle_alpha 90.00
_cell_angle_beta 90.00
_cell_angle_gamma 146.18
_symmetry_space_group_name_H-M 'P 1'
_symmetry_Int_Tables_number 1
_symmetry_space_group_name_Hall 'P 1'
loop_
_atom_site_label
_atom_site_fract_x
_atom_site_fract_y
_atom_site_fract_z
Li1 0.052 0.948 0.632
Li2 0.052 0.948 0.868
Li3 0.253 0.747 0.630
Li4 0.253 0.747 0.870
Li5 0.340 0.660 0.250
Li6 0.660 0.340 0.750
Li7 0.747 0.253 0.130
Li8 0.747 0.253 0.370
Li9 0.948 0.052 0.132
Li10 0.948 0.052 0.368
Br1 0.133 0.867 0.071
Br2 0.133 0.867 0.429
Br3 0.867 0.133 0.571
Br4 0.867 0.133 0.929
N1 0.152 0.848 0.750
N2 0.848 0.152 0.250

=====

[5]
# ZnGaCuB2 GGA-PBE relaxed
# * energy relative to the elements: 1.51 eV per atom
# * space-group type: P4/mmm (123)
data_ZnGaCuB2
_chemical_formula_sum 'Zn1 Ga1 Cu1 B2'
_cell_length_a 4.011
_cell_length_b 4.011
_cell_length_c 4.960
_cell_angle_alpha 90.00
_cell_angle_beta 90.00
_cell_angle_gamma 90.00
_symmetry_space_group_name_H-M 'P 1'
_symmetry_Int_Tables_number 1
_symmetry_space_group_name_Hall 'P 1'
loop_
_atom_site_label
_atom_site_fract_x
_atom_site_fract_y
_atom_site_fract_z
Zn1 0.000 0.000 0.000
Ga1 0.000 0.000 0.500
Cu1 0.500 0.500 0.000
B1 0.000 0.500 0.500
B2 0.500 0.000 0.500

=====

[6]
# SrLiPb3 GGA-PBE relaxed
# * energy relative to the elements: -0.27 eV per atom
# * space-group type: P4/nmm (129)
# * polymorph energy (0 for the lowest one): 0 meV per atom
data_SrLiPb3
_chemical_formula_sum 'Sr2 Li2 Pb6'
_cell_length_a 7.091
_cell_length_b 7.091
_cell_length_c 6.096
_cell_angle_alpha 90.00
_cell_angle_beta 90.00
_cell_angle_gamma 90.00
_symmetry_space_group_name_H-M 'P 1'
_symmetry_Int_Tables_number 1
_symmetry_space_group_name_Hall 'P 1'
loop_
_atom_site_label
_atom_site_fract_x
_atom_site_fract_y
_atom_site_fract_z
Sr1 0.250 0.750 0.000
Sr2 0.750 0.250 0.000
Li1 0.250 0.250 0.288
Li2 0.750 0.750 0.712
Pb1 0.000 0.000 0.500
Pb2 0.000 0.500 0.500
Pb3 0.250 0.250 0.848
Pb4 0.500 0.000 0.500
Pb5 0.500 0.500 0.500
Pb6 0.750 0.750 0.152

=====

[7]
# Ni5Ir3 GGA-PBE relaxed
# * energy relative to the elements: 0.05 eV per atom
# * space-group type: P4/mmm (123)
# * polymorph energy (0 for the lowest one): 12 meV per atom
data_Ni5Ir3
_chemical_formula_sum 'Ni5 Ir3'
_cell_length_a 2.687
_cell_length_b 2.687
_cell_length_c 13.768
_cell_angle_alpha 90.00
_cell_angle_beta 90.00
_cell_angle_gamma 90.00
_symmetry_space_group_name_H-M 'P 1'
_symmetry_Int_Tables_number 1
_symmetry_space_group_name_Hall 'P 1'
loop_
_atom_site_label
_atom_site_fract_x
_atom_site_fract_y
_atom_site_fract_z
Ni1 0.000 0.000 0.000
Ni2 0.000 0.000 0.230
Ni3 0.000 0.000 0.770
Ni4 0.500 0.500 0.113
Ni5 0.500 0.500 0.887
Ir1 0.000 0.000 0.500
Ir2 0.500 0.500 0.359
Ir3 0.500 0.500 0.641

=====

| no. | spin magnetization (μB per cell) | energy (eV/atom) |
| --- | --- | --- |
| 1 | 0.0 | -5.11 |
| 2 | 0.0 | -2.76 |
| 3 | 0.0 | -3.99 |
| 4 | 0.1 | -3.60 |
| 5 | 0.0 | -2.84 |
| 6 | 0.0 | -3.22 |
| 7 | 2.9 | -6.88 |